(1)
# LaMgCuSe3

LaMgCuSe3 after structural relaxation (PBE-GGA, the Open Quantum Materials Database).

Values from the calculation:
DFT total energy	-4.626	eV/atom

Unit cell a=3.944 b=12.812 c=11.220 alpha=90.00 beta=90.00 gamma=90.00
Space group Cmcm (No. 63)
Asymmetric unit:
1 La 0.000 0.000 0.000
2 Mg 0.000 0.232 0.250
3 Cu 0.000 0.476 0.750
4 Se 0.000 0.097 0.750
5 Se 0.000 0.346 0.591


(2)
# Os2Pd3S2

Os2Pd3S2 after structural relaxation (PBE-GGA, the Open Quantum Materials Database).

Values from the calculation:
DFT total energy	-5.972	eV/atom

Unit cell a=7.856 b=7.856 c=7.856 alpha=90.00 beta=90.00 gamma=90.00
Space group I2_13 (No. 199)
Asymmetric unit:
1 Os 0.059 0.441 0.559
2 Pd 0.000 0.250 0.279
3 S 0.214 0.286 0.714


(3)
# ScAsIrO

ScAsIrO after structural relaxation (PBE-GGA, the Open Quantum Materials Database).

Values from the calculation:
DFT total energy	-7.839	eV/atom
E above lowest polymorph	0.0000	eV/atom

Unit cell a=3.949 b=3.949 c=7.770 alpha=90.00 beta=90.00 gamma=90.00
Space group P4/nmm (No. 129, origin choice 2)
Asymmetric unit:
1 Sc 0.250 0.250 0.111
2 As 0.250 0.250 0.689
3 Ir 0.250 0.750 0.500
4 O 0.250 0.750 0.000


(4)
# BaTm2S3

BaTm2S3 after structural relaxation (PBE-GGA, the Open Quantum Materials Database).

Values from the calculation:
DFT total energy	-5.831	eV/atom

Unit cell a=3.9763 b=3.9763 c=10.2819 alpha=90.00 beta=90.00 gamma=120.00
Space group P-3m1 (No. 164)
Asymmetric unit:
1 Ba 0.0000 0.0000 0.0000
2 Tm 0.3333 0.6667 0.6487
3 S 0.0000 0.0000 0.5000
4 S 0.3333 0.6667 0.2088


(5)
# NaTmZnTe3

NaTmZnTe3 after structural relaxation (PBE-GGA, the Open Quantum Materials Database).

Values from the calculation:
DFT total energy	-3.610	eV/atom
E above lowest polymorph	0.1095	eV/atom

Unit cell a=20.301 b=4.290 c=8.676 alpha=90.00 beta=102.36 gamma=90.00
Space group C2/m (No. 12)
Asymmetric unit:
1 Na 0.120 0.000 0.067
2 Tm 0.173 0.000 0.576
3 Zn 0.040 0.500 0.724
4 Te 0.000 0.000 0.500
5 Te 0.000 0.500 0.000
6 Te 0.171 0.500 0.822
7 Te 0.175 0.500 0.336


(6)
# Sm2CoSn6

Sm2CoSn6 after structural relaxation (PBE-GGA, the Open Quantum Materials Database).

Values from the calculation:
DFT total energy	-4.956	eV/atom

Unit cell a=4.370 b=23.145 c=4.471 alpha=90.00 beta=90.00 gamma=90.00
Space group Cmmm (No. 65)
Asymmetric unit:
1 Sm 0.000 0.176 0.000
2 Co 0.000 0.500 0.500
3 Sn 0.000 0.067 0.500
4 Sn 0.000 0.294 0.500
5 Sn 0.000 0.434 0.000


(7)
# Li4TcBiO6

Li4TcBiO6 after structural relaxation (PBE-GGA, the Open Quantum Materials Database).

Values from the calculation:
DFT total energy	-5.939	eV/atom

Unit cell a=5.428 b=9.500 c=5.174 alpha=90.00 beta=109.44 gamma=90.00
Space group C2 (No. 5)
Asymmetric unit:
1 Li 0.000 0.000 0.000
2 Li 0.000 0.149 0.500
3 Li 0.000 0.318 0.000
4 Li 0.000 0.622 0.000
5 Tc 0.000 0.482 0.500
6 Bi 0.000 0.813 0.500
7 O 0.219 0.331 0.739
8 O 0.230 0.486 0.267
9 O 0.234 0.632 0.743


(8)
# KSnTeAuS2

KSnTeAuS2 after structural relaxation (PBE-GGA, the Open Quantum Materials Database).

Values from the calculation:
DFT total energy	-3.724	eV/atom

Unit cell a=3.830 b=16.909 c=11.105 alpha=90.00 beta=90.00 gamma=90.00
Space group Cmcm (No. 63)
Asymmetric unit:
1 K 0.000 0.236 0.250
2 Sn 0.000 0.500 0.000
3 Te 0.000 0.436 0.750
4 Au 0.000 0.106 0.750
5 S 0.000 0.109 0.541


(9)
# BaGd

BaGd after structural relaxation (PBE-GGA, the Open Quantum Materials Database).

Values from the calculation:
DFT total energy	-2.469	eV/atom
E above lowest polymorph	0.5450	eV/atom

Unit cell a=7.108 b=7.108 c=7.108 alpha=90.00 beta=90.00 gamma=90.00
Space group Fm-3m (No. 225)
Asymmetric unit:
1 Ba 0.000 0.000 0.000
2 Gd 0.000 0.000 0.500


(10)
# TlZnSeF

TlZnSeF after structural relaxation (PBE-GGA, the Open Quantum Materials Database).

Values from the calculation:
DFT total energy	-3.216	eV/atom
E above lowest polymorph	0.1684	eV/atom

Unit cell a=3.828 b=3.828 c=12.420 alpha=90.00 beta=90.00 gamma=90.00
Space group P4/nmm (No. 129, origin choice 2)
Asymmetric unit:
1 Tl 0.250 0.250 0.125
2 Zn 0.250 0.250 0.585
3 Se 0.250 0.250 0.387
4 F 0.250 0.750 0.000


(11)
# TeIrW

TeIrW after structural relaxation (PBE-GGA, the Open Quantum Materials Database).

Values from the calculation:
DFT total energy	-7.581	eV/atom
E above lowest polymorph	0.2198	eV/atom

Unit cell a=6.262 b=6.262 c=6.262 alpha=90.00 beta=90.00 gamma=90.00
Space group F-43m (No. 216)
Asymmetric unit:
1 Te 0.000 0.000 0.000
2 Ir 0.250 0.250 0.250
3 W 0.000 0.000 0.500


(12)
# LuZnAu

LuZnAu after structural relaxation (PBE-GGA, the Open Quantum Materials Database).

Values from the calculation:
E_form	-0.499	eV/atom
DFT total energy	-3.518	eV/atom

Unit cell a=6.504 b=6.504 c=6.504 alpha=90.00 beta=90.00 gamma=90.00
Space group F-43m (No. 216)
Asymmetric unit:
1 Lu 0.000 0.000 0.000
2 Zn 0.000 0.000 0.500
3 Au 0.250 0.250 0.250